{
  "formula": "KTiAl",
  "functional": "GGA-PBE",
  "state": "relaxed",
  "total_magnetization_mub_per_cell": 2.65,
  "de_polymorph_mev_per_atom": 446,
  "crystal_system": "tetragonal",
  "spacegroup": "No. 129",
  "e_tot_ev_per_atom": -3.728,
  "lattice_angstrom": [[5.0903, 0.0000, 0.0000], [0.0000, 5.0903, 0.0000], [0.0000, 0.0000, 7.7142]],
  "species": ["K", "K", "Ti", "Ti", "Al", "Al"],
  "frac_coords": [[0.2500, 0.2500, 0.1433], [0.7500, 0.7500, 0.8567], [0.2500, 0.2500, 0.5834], [0.7500, 0.7500, 0.4166], [0.2500, 0.7500, 0.5000], [0.7500, 0.2500, 0.5000]]
}


{
  "formula": "PrErZn4",
  "functional": "GGA-PBE",
  "state": "relaxed",
  "total_magnetization_mub_per_cell": 0.00,
  "de_polymorph_mev_per_atom": 29,
  "crystal_system": "cubic",
  "spacegroup": "No. 216",
  "e_tot_ev_per_atom": -2.723,
  "lattice_angstrom": [[0.0000, 3.9045, 3.9045], [3.9045, 0.0000, 3.9045], [3.9045, 3.9045, 0.0000]],
  "species": ["Pr", "Er", "Zn", "Zn", "Zn", "Zn"],
  "frac_coords": [[0.0000, 0.0000, 0.0000], [0.2500, 0.2500, 0.2500], [0.1260, 0.6247, 0.6247], [0.6247, 0.1260, 0.6247], [0.6247, 0.6247, 0.1260], [0.6247, 0.6247, 0.6247]]
}


Please write out number 1 again, unchanged.
{
  "formula": "KTiAl",
  "functional": "GGA-PBE",
  "state": "relaxed",
  "total_magnetization_mub_per_cell": 2.65,
  "de_polymorph_mev_per_atom": 446,
  "crystal_system": "tetragonal",
  "spacegroup": "No. 129",
  "e_tot_ev_per_atom": -3.728,
  "lattice_angstrom": [[5.0903, 0.0000, 0.0000], [0.0000, 5.0903, 0.0000], [0.0000, 0.0000, 7.7142]],
  "species": ["K", "K", "Ti", "Ti", "Al", "Al"],
  "frac_coords": [[0.2500, 0.2500, 0.1433], [0.7500, 0.7500, 0.8567], [0.2500, 0.2500, 0.5834], [0.7500, 0.7500, 0.4166], [0.2500, 0.7500, 0.5000], [0.7500, 0.2500, 0.5000]]
}